Computed, not measured: a relaxed Cr2In2Re crystal at the GGA-PBE level of DFT.

Summary:
Its calculated volume is 169 Å³ per cell. The energy relative to the lowest polymorph listed for this composition is 0.000 kcal/mol of atoms. The energy relative to the elements is 0.56 eV/atom.

POSCAR file:
```
Cr2In2Re
1.0
6.209 0.000 0.000
0.000 6.209 0.000
0.000 0.000 4.391
Cr In Re
4 4 2
Direct
0.126 0.374 0.000
0.374 0.874 0.000
0.626 0.126 0.000
0.874 0.626 0.000
0.179 0.679 0.500
0.321 0.179 0.500
0.679 0.821 0.500
0.821 0.321 0.500
0.000 0.000 0.000
0.500 0.500 0.000
```